Below is crystalline PmCdS2O8 at its relaxed geometry, with properties calculated at the GGA-PBE level.

Lattice parameters (Å, degrees): 5.235 5.235 8.097 90.00 90.00 120.00
Fractional positions:
1 O 0.333 0.667 0.488
2 S 0.667 0.333 0.327
3 O 0.823 0.177 0.268
4 O 0.177 0.355 0.732
5 S 0.333 0.667 0.673
6 Pm 0.000 0.000 0.500
7 O 0.645 0.823 0.732
8 O 0.355 0.177 0.268
9 O 0.823 0.645 0.268
10 O 0.177 0.823 0.732
11 O 0.667 0.333 0.512
12 Cd 0.000 0.000 0.000

Values from the calculation:
DOS at the Fermi energy = 2.980 states/eV/cell
space group = P-3m1, No. 164
formation energy (no corrections) = -1968 kJ/mol of formula units
spin magnetization = 0.6 μB per cell
calculated density = 3.88 g/cm³
energy = -74.0 eV/cell

Below is crystalline LiAl2Te at its relaxed geometry, with properties calculated at the GGA-PBE level.

Lattice parameters (Å, degrees): 4.205 3.018 6.814 77.06 90.00 90.00
Fractional positions:
1 Te 0.500 0.968 0.687
2 Al 0.000 0.778 0.072
3 Al 0.500 0.196 0.236
4 Li 0.000 0.558 0.505

Values from the calculation:
DOS at the Fermi energy = 1.322 states/eV/cell
space group = Pm, No. 6
formation energy (no corrections) = -52 kJ/mol of formula units
spin magnetization = 0.0 μB per cell
calculated density = 3.71 g/cm³
energy = -13.1 eV/cell

Below is crystalline TiFeAu2 at its relaxed geometry, with properties calculated at the GGA-PBE level.

Lattice parameters (Å, degrees): 3.761 3.761 9.863 79.01 79.01 90.00
Fractional positions:
1 Ti 0.250 0.750 0.500
2 Au 0.119 0.625 0.250
3 Au 0.631 0.125 0.250
4 Au 0.875 0.881 0.750
5 Au 0.375 0.369 0.750
6 Fe 0.750 0.250 0.500
7 Fe 0.000 0.000 0.000
8 Ti 0.500 0.500 0.000

Values from the calculation:
DOS at the Fermi energy = 13.321 states/eV/cell
space group = I-42d, No. 122
spin magnetization = 0.0 μB per cell
calculated formation energy = 0.32 eV/atom
calculated density = 12.30 g/cm³
energy = -43.3 eV/cell

Below is crystalline YBeCrC2 at its relaxed geometry, with properties calculated at the GGA-PBE level.

Lattice parameters (Å, degrees): 3.875 3.964 3.875 90.00 90.00 90.00
Fractional positions:
1 Y 0.500 0.500 0.500
2 Be 0.000 0.000 0.000
3 Cr 0.000 0.500 0.000
4 C 0.500 0.000 0.000
5 C 0.000 0.000 0.500

Values from the calculation:
DOS at the Fermi energy = 2.745 states/eV/cell
space group = P4/mmm, No. 123
spin magnetization = 2.9 μB per cell
calculated formation energy = 1.32 eV/atom
calculated density = 4.85 g/cm³
energy = -31.6 eV/cell

Below is crystalline Be2CuAs at its relaxed geometry, with properties calculated at the GGA-PBE level.

Lattice parameters (Å, degrees): 4.591 5.019 2.839 67.18 103.28 121.48
Fractional positions:
1 As 0.500 0.500 0.000
2 Be 0.500 0.000 0.500
3 Cu 0.000 0.500 0.500
4 Be 0.000 0.000 0.000

Values from the calculation:
DOS at the Fermi energy = 1.210 states/eV/cell
space group = C2/m, No. 12
spin magnetization = 0.0 μB per cell
calculated formation energy = 0.35 eV/atom
calculated density = 5.06 g/cm³
energy = -14.8 eV/cell

Below is crystalline NbCdPdRuI at its relaxed geometry, with properties calculated at the GGA-PBE level.

Lattice parameters (Å, degrees): 3.595 4.981 8.166 95.17 102.65 111.10
Fractional positions:
1 Ru 0.992 0.164 0.772
2 Nb 0.545 0.081 0.961
3 Pd 0.767 0.619 0.865
4 Cd 0.179 0.700 0.607
5 I 0.929 0.604 0.227

Values from the calculation:
DOS at the Fermi energy = 3.221 states/eV/cell
space group = P1, No. 1
formation energy (no corrections) = 66 kJ/mol of formula units
energy above the lowest structure with this stoichiometry = 2.93 kcal/mol of atoms
spin magnetization = 0.0 μB per cell
calculated density = 6.85 g/cm³
energy = -26.3 eV/cell